1.
Density functional theory data (PBE) for crystalline Hf4Co2Ni at its relaxed geometry.

energy of formation	-1.22	eV per formula unit
symmetry	C2/m

```
data_Hf4Co2Ni
_space_group_name_H-M_alt 'P 1'
_space_group_IT_number 1
_cell_length_a 3.3949
_cell_length_b 6.3151
_cell_length_c 6.6262
_cell_angle_alpha 113.82
_cell_angle_beta 104.84
_cell_angle_gamma 90.00
loop_
_space_group_symop_operation_xyz
'x,y,z'
loop_
_atom_site_label
_atom_site_type_symbol
_atom_site_fract_x
_atom_site_fract_y
_atom_site_fract_z
Hf1 Hf 0.8921 0.2673 0.7842
Hf2 Hf 0.1079 0.7327 0.2158
Hf3 Hf 0.6373 0.3328 0.2746
Hf4 Hf 0.3627 0.6672 0.7254
Co1 Co 0.7650 0.8231 0.5301
Co2 Co 0.2350 0.1769 0.4699
Ni1 Ni 0.0000 0.0000 0.0000
```


2.
Density functional theory data (PBE) for crystalline Cs2In13 at its relaxed geometry.

energy of formation	1.45	eV per formula unit
symmetry	R-3m

```
data_Cs2In13
_space_group_name_H-M_alt 'P 1'
_space_group_IT_number 1
_cell_length_a 8.6011
_cell_length_b 8.6011
_cell_length_c 11.7360
_cell_angle_alpha 68.50
_cell_angle_beta 68.50
_cell_angle_gamma 60.00
loop_
_space_group_symop_operation_xyz
'x,y,z'
loop_
_atom_site_label
_atom_site_type_symbol
_atom_site_fract_x
_atom_site_fract_y
_atom_site_fract_z
Cs1 Cs 0.3108 0.3108 0.0676
Cs2 Cs 0.6892 0.6892 0.9324
In1 In 0.5000 0.5000 0.5000
In2 In 0.4486 0.8249 0.2778
In3 In 0.4486 0.4486 0.2778
In4 In 0.8249 0.4486 0.2778
In5 In 0.1751 0.5514 0.7222
In6 In 0.5514 0.1751 0.7222
In7 In 0.5514 0.5514 0.7222
In8 In 0.2668 0.9042 0.5623
In9 In 0.2668 0.2668 0.5623
In10 In 0.9042 0.2668 0.5623
In11 In 0.0958 0.7332 0.4377
In12 In 0.7332 0.0958 0.4377
In13 In 0.7332 0.7332 0.4377
```